[1]
Density functional theory data (GGA-PBE) for TaSnHg2Se after structural relaxation.

Cell: 5.503 5.503 4.842 Å, 90.00 90.00 90.00°
Positions (direct):
Ta 0.000 0.000 0.000
Sn 0.500 0.500 0.500
Hg 0.000 0.500 0.000
Hg 0.500 0.000 0.000
Se 0.000 0.000 0.500

Summary:
symmetry = No. 123

[2]
Density functional theory data (GGA-PBE) for LaPrHgO2 after structural relaxation.

Cell: 7.085 7.085 7.085 Å, 145.75 145.75 49.22°
Positions (direct):
La 0.000 0.000 0.000
Pr 0.321 0.321 0.000
Hg 0.660 0.660 0.000
O 0.409 0.909 0.500
O 0.909 0.409 0.500

Summary:
symmetry = No. 107

[3]
Density functional theory data (GGA-PBE) for CeCuSi after structural relaxation.

Cell: 4.901 4.901 4.901 Å, 132.70 132.70 69.12°
Positions (direct):
Ce 0.000 0.000 0.000
Cu 0.657 0.657 0.000
Si 0.358 0.358 0.000

Summary:
symmetry = No. 107

[4]
Density functional theory data (GGA-PBE) for RbHoPdCl6 after structural relaxation.

Cell: 6.726 6.726 7.469 Å, 90.00 90.00 120.00°
Positions (direct):
Rb 0.000 0.000 0.000
Ho 0.667 0.333 0.500
Pd 0.333 0.667 0.500
Cl 0.009 0.374 0.700
Cl 0.009 0.636 0.300
Cl 0.364 0.374 0.300
Cl 0.364 0.991 0.700
Cl 0.626 0.636 0.700
Cl 0.626 0.991 0.300

Summary:
symmetry = No. 149

[5]
Density functional theory data (GGA-PBE) for V2InRe after structural relaxation.

Cell: 5.775 5.775 5.775 Å, 102.79 102.79 123.86°
Positions (direct):
V 0.076 0.125 0.451
V 0.375 0.924 0.049
V 0.674 0.625 0.549
V 0.875 0.326 0.951
In 0.250 0.750 0.500
In 0.500 0.500 0.000
Re 0.000 0.000 0.000
Re 0.750 0.250 0.500

Summary:
E_form = 0.63 eV per atom
symmetry = No. 122

[6]
Density functional theory data (GGA-PBE) for Hf2Tl3NiTe6 after structural relaxation.

Cell: 7.144 7.144 8.597 Å, 97.94 97.94 120.01°
Positions (direct):
Hf 0.165 0.835 0.000
Hf 0.835 0.165 0.000
Tl 0.000 0.000 0.500
Tl 0.323 0.677 0.500
Tl 0.677 0.323 0.500
Ni 0.500 0.500 0.000
Te 0.120 0.438 0.809
Te 0.246 0.246 0.197
Te 0.438 0.120 0.809
Te 0.562 0.880 0.191
Te 0.754 0.754 0.803
Te 0.880 0.562 0.191

Summary:
symmetry = No. 12

[7]
Density functional theory data (GGA-PBE) for Cd2CoHg after structural relaxation.

Cell: 6.790 6.790 6.790 Å, 155.22 141.19 46.60°
Positions (direct):
Cd 0.185 0.185 0.000
Cd 0.815 0.815 0.000
Co 0.000 0.500 0.500
Hg 0.500 0.000 0.500

Summary:
E_form = 0.21 eV per atom
symmetry = No. 71

[8]
Density functional theory data (GGA-PBE) for MgV2Si after structural relaxation.

Cell: 5.556 5.556 5.556 Å, 102.82 102.82 123.80°
Positions (direct):
Mg 0.000 0.000 0.000
Mg 0.750 0.250 0.500
V 0.152 0.125 0.527
V 0.375 0.848 0.973
V 0.598 0.625 0.473
V 0.875 0.402 0.027
Si 0.250 0.750 0.500
Si 0.500 0.500 0.000

Summary:
symmetry = No. 122

[9]
Density functional theory data (GGA-PBE) for TbDyY2Th after structural relaxation.

Cell: 8.539 6.390 6.286 Å, 90.00 96.31 90.00°
Positions (direct):
Tb 0.000 0.000 0.000
Tb 0.000 0.000 0.500
Dy 0.500 0.180 0.250
Dy 0.500 0.820 0.750
Y 0.312 0.303 0.716
Y 0.312 0.697 0.216
Y 0.688 0.303 0.784
Y 0.688 0.697 0.284
Th 0.000 0.445 0.250
Th 0.000 0.555 0.750

Summary:
E_form = 0.33 eV per atom
symmetry = No. 13

[10]
Density functional theory data (GGA-PBE) for CrHgPC2 after structural relaxation.

Cell: 3.662 3.662 5.263 Å, 90.00 90.00 90.00°
Positions (direct):
Cr 0.000 0.000 0.000
Hg 0.500 0.500 0.000
P 0.500 0.500 0.500
C 0.000 0.500 0.500
C 0.500 0.000 0.500

Summary:
E_form = 2.23 eV per atom
symmetry = No. 123

[11]
Density functional theory data (GGA-PBE) for Ac2HoTm after structural relaxation.

Cell: 5.479 5.479 4.935 Å, 90.00 90.00 90.00°
Positions (direct):
Ac 0.000 0.500 0.000
Ac 0.500 0.000 0.000
Ho 0.000 0.000 0.500
Tm 0.500 0.500 0.500

Summary:
E_form = 0.06 eV per atom
symmetry = No. 123
ΔE to the lowest computed polymorph = 0.000 eV/atom

[12]
Density functional theory data (GGA-PBE) for LiCd4F10 after structural relaxation.

Cell: 15.333 15.333 15.333 Å, 14.48 14.48 14.48°
Positions (direct):
Li 0.000 0.000 0.000
Cd 0.202 0.202 0.202
Cd 0.395 0.395 0.395
Cd 0.605 0.605 0.605
Cd 0.798 0.798 0.798
F 0.044 0.044 0.044
F 0.149 0.149 0.149
F 0.254 0.254 0.254
F 0.343 0.343 0.343
F 0.447 0.447 0.447
F 0.553 0.553 0.553
F 0.657 0.657 0.657
F 0.746 0.746 0.746
F 0.851 0.851 0.851
F 0.956 0.956 0.956

Summary:
symmetry = No. 166

[13]
Density functional theory data (GGA-PBE) for Sr2FeNiIr after structural relaxation.

Cell: 5.472 5.472 4.335 Å, 90.00 90.00 90.00°
Positions (direct):
Sr 0.000 0.500 0.000
Sr 0.500 0.000 0.000
Fe 0.000 0.000 0.500
Ni 0.000 0.000 0.000
Ir 0.500 0.500 0.500

Summary:
E_form = 0.72 eV per atom
symmetry = No. 123

[14]
Density functional theory data (GGA-PBE) for Nd2Zn2Pt3 after structural relaxation.

Cell: 9.713 9.713 7.445 Å, 90.00 90.00 155.54°
Positions (direct):
Nd 0.061 0.939 0.750
Nd 0.155 0.845 0.250
Nd 0.845 0.155 0.750
Nd 0.939 0.061 0.250
Zn 0.307 0.693 0.053
Zn 0.307 0.693 0.447
Zn 0.693 0.307 0.553
Zn 0.693 0.307 0.947
Pt 0.224 0.776 0.750
Pt 0.435 0.565 0.562
Pt 0.435 0.565 0.938
Pt 0.565 0.435 0.062
Pt 0.565 0.435 0.438
Pt 0.776 0.224 0.250

Summary:
E_form = -0.90 eV per atom
symmetry = No. 63

[15]
Density functional theory data (GGA-PBE) for AgPd2Au after structural relaxation.

Cell: 3.256 3.256 6.314 Å, 90.00 90.00 90.00°
Positions (direct):
Ag 0.000 0.000 0.000
Pd 0.500 0.500 0.251
Pd 0.500 0.500 0.749
Au 0.000 0.000 0.500

Summary:
E_form = -0.03 eV per atom
symmetry = No. 123
ΔE to the lowest computed polymorph = 0.035 eV/atom

[16]
Density functional theory data (GGA-PBE) for La2Rh2Au after structural relaxation.

Cell: 5.640 5.640 5.640 Å, 122.15 122.15 86.31°
Positions (direct):
La 0.250 0.750 0.500
La 0.750 0.250 0.500
Rh 0.163 0.163 0.000
Rh 0.837 0.837 0.000
Au 0.500 0.500 0.000

Summary:
E_form = -0.62 eV per atom
symmetry = No. 139
ΔE to the lowest computed polymorph = 0.146 eV/atom

[17]
Density functional theory data (GGA-PBE) for TcSnIr3 after structural relaxation.

Cell: 4.748 4.748 4.748 Å, 90.00 90.00 90.00°
Positions (direct):
Tc 0.000 0.000 0.000
Sn 0.500 0.500 0.500
Ir 0.000 0.000 0.500
Ir 0.000 0.500 0.000
Ir 0.500 0.000 0.000

Summary:
E_form = 1.39 eV per atom
symmetry = No. 221
ΔE to the lowest computed polymorph = 0.000 eV/atom

[18]
Density functional theory data (GGA-PBE) for NaTi3W after structural relaxation.

Cell: 4.519 4.519 4.519 Å, 90.00 90.00 90.00°
Positions (direct):
Na 0.000 0.000 0.000
Ti 0.000 0.000 0.500
Ti 0.000 0.500 0.000
Ti 0.500 0.000 0.000
W 0.500 0.500 0.500

Summary:
E_form = 1.92 eV per atom
symmetry = No. 221

[19]
Density functional theory data (GGA-PBE) for Si2AgF8 after structural relaxation.

Cell: 4.345 7.620 7.651 Å, 60.68 89.77 89.97°
Positions (direct):
Si 0.113 0.332 0.333
Si 0.887 0.668 0.667
Ag 0.000 0.000 0.000
F 0.221 0.330 0.532
F 0.223 0.137 0.329
F 0.224 0.530 0.140
F 0.252 0.668 0.667
F 0.748 0.332 0.333
F 0.776 0.470 0.860
F 0.777 0.863 0.671
F 0.779 0.670 0.468

Summary:
symmetry = No. 2
ΔE to the lowest computed polymorph = 0.000 eV/atom

[20]
Density functional theory data (GGA-PBE) for Li2MnPH after structural relaxation.

Cell: 3.657 3.657 3.956 Å, 90.00 90.00 90.00°
Positions (direct):
Li 0.000 0.500 0.000
Li 0.500 0.000 0.000
Mn 0.000 0.000 0.500
P 0.500 0.500 0.500
H 0.000 0.000 0.000

Summary:
symmetry = No. 123

[21]
Density functional theory data (GGA-PBE) for Cu4Mo after structural relaxation.

Cell: 9.673 9.673 9.673 Å, 164.59 164.59 21.85°
Positions (direct):
Cu 0.108 0.108 0.000
Cu 0.297 0.297 0.000
Cu 0.703 0.703 0.000
Cu 0.892 0.892 0.000
Mo 0.500 0.500 0.000

Summary:
E_form = 0.09 eV per atom
symmetry = No. 139

[22]
Density functional theory data (GGA-PBE) for TaMnBe17 after structural relaxation.

Cell: 5.509 5.509 5.509 Å, 82.90 82.90 82.90°
Positions (direct):
Ta 0.000 0.000 0.000
Mn 0.678 0.678 0.678
Be 0.038 0.343 0.636
Be 0.038 0.636 0.343
Be 0.185 0.686 0.686
Be 0.241 0.241 0.241
Be 0.332 0.332 0.843
Be 0.332 0.843 0.332
Be 0.343 0.038 0.636
Be 0.343 0.636 0.038
Be 0.442 0.442 0.442
Be 0.504 0.990 0.990
Be 0.636 0.038 0.343
Be 0.636 0.343 0.038
Be 0.686 0.185 0.686
Be 0.686 0.686 0.185
Be 0.843 0.332 0.332
Be 0.990 0.504 0.990
Be 0.990 0.990 0.504

Summary:
E_form = -0.14 eV per atom
symmetry = No. 160

[23]
Density functional theory data (GGA-PBE) for NiAgPb4 after structural relaxation.

Cell: 6.312 6.312 6.312 Å, 60.00 60.00 60.00°
Positions (direct):
Ni 0.000 0.000 0.000
Ag 0.250 0.250 0.250
Pb 0.124 0.625 0.625
Pb 0.625 0.124 0.625
Pb 0.625 0.625 0.124
Pb 0.625 0.625 0.625

Summary:
E_form = 0.69 eV per atom
symmetry = No. 216

[24]
Density functional theory data (GGA-PBE) for CaLaCd after structural relaxation.

Cell: 6.471 6.471 9.629 Å, 118.90 118.90 34.50°
Positions (direct):
Ca 0.090 0.090 0.348
Ca 0.910 0.910 0.652
La 0.342 0.342 0.954
La 0.658 0.658 0.046
Cd 0.370 0.370 0.343
Cd 0.630 0.630 0.657

Summary:
E_form = -0.18 eV per atom
symmetry = No. 12
ΔE to the lowest computed polymorph = 0.029 eV/atom

[25]
Density functional theory data (GGA-PBE) for BeNbRh after structural relaxation.

Cell: 5.042 5.042 6.686 Å, 124.50 124.50 36.07°
Positions (direct):
Be 0.134 0.134 0.171
Be 0.866 0.866 0.829
Nb 0.416 0.416 0.169
Nb 0.584 0.584 0.831
Rh 0.167 0.167 0.576
Rh 0.833 0.833 0.424

Summary:
E_form = -0.42 eV per atom
symmetry = No. 12
ΔE to the lowest computed polymorph = 0.052 eV/atom

Number 1: VASP energy -0.2630 Ry per atom. Number 2: VASP energy -0.4708 Ry per atom. Number 3: VASP energy -0.3803 Ry per atom. Number 4: VASP energy -0.2937 Ry per atom. Number 5: VASP energy -0.5679 Ry per atom. Number 6: VASP energy -0.3485 Ry per atom. Number 7: VASP energy -0.1542 Ry per atom. Number 8: VASP energy -0.4368 Ry per atom. Number 9: VASP energy -0.4103 Ry per atom. Number 10: VASP energy -0.3329 Ry per atom. Number 11: VASP energy -0.3131 Ry per atom. Number 12: VASP energy -0.2740 Ry per atom. Number 13: VASP energy -0.3363 Ry per atom. Number 14: VASP energy -0.3830 Ry per atom. Number 15: VASP energy -0.3053 Ry per atom. Number 16: VASP energy -0.4548 Ry per atom. Number 17: VASP energy -0.4998 Ry per atom. Number 18: VASP energy -0.4167 Ry per atom. Number 19: VASP energy -0.3844 Ry per atom. Number 20: VASP energy -0.3448 Ry per atom. Number 21: VASP energy -0.3931 Ry per atom. Number 22: VASP energy -0.3365 Ry per atom. Number 23: VASP energy -0.2365 Ry per atom. Number 24: VASP energy -0.2055 Ry per atom. Number 25: VASP energy -0.5492 Ry per atom.